## 1
Material: La2TeS
Method: DFT, PBE
State: optimized geometry

Total moment: 0.2156 μB per atom
Crystal system: cubic

Structure (CIF):
```
data_La2TeS
_cell_length_a 7.5597
_cell_length_b 7.5597
_cell_length_c 7.5597
_cell_angle_alpha 90.00
_cell_angle_beta 90.00
_cell_angle_gamma 90.00
_space_group_name_H-M_alt 'F m -3 m'
_space_group_IT_number 225
_space_group_name_Hall '-F 4 2 3'
loop_
_atom_site_label
_atom_site_type_symbol
_atom_site_fract_x
_atom_site_fract_y
_atom_site_fract_z
La1 La 0.2500 0.2500 0.2500
Te1 Te 0.0000 0.0000 0.0000
S1 S 0.0000 0.0000 0.5000
```


## 2
Material: La2TeS
Method: DFT, PBE
State: optimized geometry

Total moment: 0.0000 μB per atom
Crystal system: trigonal

Structure (CIF):
```
data_La2TeS
_cell_length_a 4.2647
_cell_length_b 4.2647
_cell_length_c 22.6105
_cell_angle_alpha 90.00
_cell_angle_beta 90.00
_cell_angle_gamma 120.00
_space_group_name_H-M_alt 'R 3 m'
_space_group_IT_number 160
_space_group_name_Hall 'R 3 -2"'
loop_
_atom_site_label
_atom_site_type_symbol
_atom_site_fract_x
_atom_site_fract_y
_atom_site_fract_z
La1 La 0.0000 0.0000 0.0000
La2 La 0.0000 0.0000 0.1934
Te1 Te 0.0000 0.0000 0.4297
S1 S 0.0000 0.0000 0.5985
```


## 3
Material: La2TeS
Method: DFT, PBE
State: optimized geometry

Total moment: 0.0000 μB per atom
Crystal system: tetragonal

Structure (CIF):
```
data_La2TeS
_cell_length_a 6.8907
_cell_length_b 6.8907
_cell_length_c 13.5414
_cell_angle_alpha 90.00
_cell_angle_beta 90.00
_cell_angle_gamma 90.00
_space_group_name_H-M_alt 'I -4 2 d'
_space_group_IT_number 122
_space_group_name_Hall 'I -4 2bw'
loop_
_atom_site_label
_atom_site_type_symbol
_atom_site_fract_x
_atom_site_fract_y
_atom_site_fract_z
La1 La 0.2097 0.2500 0.1250
Te1 Te 0.0000 0.0000 0.5000
S1 S 0.0000 0.0000 0.0000
```


## 4
Material: La2TeS
Method: DFT, PBE
State: optimized geometry

Total moment: 0.0000 μB per atom
Crystal system: trigonal

Structure (CIF):
```
data_La2TeS
_cell_length_a 4.3243
_cell_length_b 4.3243
_cell_length_c 21.8974
_cell_angle_alpha 90.00
_cell_angle_beta 90.00
_cell_angle_gamma 120.00
_space_group_name_H-M_alt 'R -3 m'
_space_group_IT_number 166
_space_group_name_Hall '-R 3 2"'
loop_
_atom_site_label
_atom_site_type_symbol
_atom_site_fract_x
_atom_site_fract_y
_atom_site_fract_z
La1 La 0.0000 0.0000 0.2367
Te1 Te 0.0000 0.0000 0.0000
S1 S 0.0000 0.0000 0.5000
```


Stability ranking, top entry: 4; the second entry is 2.6 kJ/mol of atoms less favorable.


## 1
Material: LaTeS3
Method: DFT, PBE
State: optimized geometry

Total moment: 0.0000 μB per atom
Crystal system: monoclinic

Structure (CIF):
```
data_LaTeS3
_cell_length_a 4.1876
_cell_length_b 9.4264
_cell_length_c 7.5927
_cell_angle_alpha 90.00
_cell_angle_beta 98.11
_cell_angle_gamma 90.00
_space_group_name_H-M_alt 'P 1 21/m 1'
_space_group_IT_number 11
_space_group_name_Hall '-P 2yb'
loop_
_atom_site_label
_atom_site_type_symbol
_atom_site_fract_x
_atom_site_fract_y
_atom_site_fract_z
La1 La 0.2151 0.2500 0.0626
Te1 Te 0.3900 0.7500 0.3720
S1 S 0.2074 0.7500 0.6740
S2 S 0.3453 0.5690 0.1175
```


## 2
Material: LaTeS3
Method: DFT, PBE
State: optimized geometry

Total moment: 0.0000 μB per atom
Crystal system: cubic

Structure (CIF):
```
data_LaTeS3
_cell_length_a 5.4853
_cell_length_b 5.4853
_cell_length_c 5.4853
_cell_angle_alpha 90.00
_cell_angle_beta 90.00
_cell_angle_gamma 90.00
_space_group_name_H-M_alt 'P m -3 m'
_space_group_IT_number 221
_space_group_name_Hall '-P 4 2 3'
loop_
_atom_site_label
_atom_site_type_symbol
_atom_site_fract_x
_atom_site_fract_y
_atom_site_fract_z
La1 La 0.0000 0.0000 0.0000
Te1 Te 0.5000 0.5000 0.5000
S1 S 0.0000 0.0000 0.5000
```


Stability ranking, top entry: 1; the second entry is 84.4 kJ/mol of atoms less favorable.


## 1
Material: La2Te2S
Method: DFT, PBE
State: optimized geometry

Total moment: 0.0000 μB per atom
Crystal system: tetragonal

Structure (CIF):
```
data_La2Te2S
_cell_length_a 5.9249
_cell_length_b 5.9249
_cell_length_c 10.3194
_cell_angle_alpha 90.00
_cell_angle_beta 90.00
_cell_angle_gamma 90.00
_space_group_name_H-M_alt 'I 4/m m m'
_space_group_IT_number 139
_space_group_name_Hall '-I 4 2'
loop_
_atom_site_label
_atom_site_type_symbol
_atom_site_fract_x
_atom_site_fract_y
_atom_site_fract_z
La1 La 0.0000 0.5000 0.2500
Te1 Te 0.0000 0.0000 0.1568
S1 S 0.0000 0.0000 0.5000
```


## 2
Material: La2Te2S
Method: DFT, PBE
State: optimized geometry

Total moment: 0.0000 μB per atom
Crystal system: tetragonal

Structure (CIF):
```
data_La2Te2S
_cell_length_a 8.2099
_cell_length_b 8.2099
_cell_length_c 4.5462
_cell_angle_alpha 90.00
_cell_angle_beta 90.00
_cell_angle_gamma 90.00
_space_group_name_H-M_alt 'P 4/m b m'
_space_group_IT_number 127
_space_group_name_Hall '-P 4 2ab'
loop_
_atom_site_label
_atom_site_type_symbol
_atom_site_fract_x
_atom_site_fract_y
_atom_site_fract_z
La1 La 0.1720 0.3280 0.0000
Te1 Te 0.1423 0.6423 0.5000
S1 S 0.0000 0.0000 0.0000
```


Stability ranking, top entry: 2; the second entry is 60.5 kJ/mol of atoms less favorable.